# HfNiN2F (GGA+U, relaxed)
data_HfNiN2F
_chemical_formula_sum 'Hf1 Ni1 N2 F1'
_symmetry_space_group_name_H-M 'P 4/m m m'
_symmetry_Int_Tables_number 123
_symmetry_space_group_name_Hall '-P 4 2'
_cell_length_a 3.805
_cell_length_b 3.805
_cell_length_c 3.578
_cell_angle_alpha 90.00
_cell_angle_beta 90.00
_cell_angle_gamma 90.00
loop_
_atom_site_label
_atom_site_type_symbol
_atom_site_fract_x
_atom_site_fract_y
_atom_site_fract_z
Hf1 Hf 0.000 0.000 0.000
Ni1 Ni 0.500 0.500 0.500
N1 N 0.000 0.500 0.500
F1 F 0.500 0.500 0.000
# **Crystal system**: tetragonal
# **Magnetic moment**: 1.0 μB/f.u.
# **Fermi-level density of states**: 0.1840 states/eV/atom
# **ΔE to the lowest computed polymorph**: 57.1 meV/atom